Entry 1:
YZnRh (GGA-PBEsol, relaxed); energy of formation = 183 meV per atom; symmetry = F-43m
1.0
0.0000 3.1946 3.1946
3.1946 0.0000 3.1946
3.1946 3.1946 0.0000
Y Zn Rh
1 1 1
Cartesian
0.0000 0.0000 0.0000
1.5973 1.5973 1.5973
4.7918 4.7918 4.7918


Entry 2:
YZnRh3 (GGA-PBEsol, relaxed); energy of formation = 1335 meV per atom; symmetry = Pm-3m
1.0
4.7504 0.0000 0.0000
0.0000 4.7504 0.0000
0.0000 0.0000 4.7504
Y Zn Rh
1 1 3
Cartesian
0.0000 0.0000 0.0000
2.3752 2.3752 2.3752
0.0000 0.0000 2.3752
0.0000 2.3752 0.0000
2.3752 0.0000 0.0000


Entry 3:
YZnRh (GGA-PBEsol, relaxed); energy of formation = -696 meV per atom; symmetry = Pnma
1.0
6.8268 0.0000 0.0000
0.0000 3.9960 0.0000
0.0000 0.0000 7.9666
Y Zn Rh
4 4 4
Cartesian
0.2507 0.9990 1.4726
3.1627 2.9970 5.4559
3.6641 0.9990 2.5107
6.5761 2.9970 6.4940
0.9454 0.9990 4.4968
2.4680 2.9970 0.5135
4.3588 0.9990 7.4531
5.8814 2.9970 3.4698
1.6558 2.9970 3.0130
1.7576 0.9990 6.9964
5.0692 2.9970 0.9703
5.1710 0.9990 4.9536


Entry 4:
Y2ZnRh (GGA-PBEsol, relaxed); energy of formation = -357 meV per atom; symmetry = P4mm
1.0
3.3622 0.0000 0.0000
0.0000 3.3622 0.0000
0.0000 0.0000 7.5265
Y Zn Rh
2 1 1
Cartesian
0.0000 0.0000 0.0000
1.6811 1.6811 2.8437
0.0000 0.0000 4.6576
1.6811 1.6811 5.8279


Entry 5:
YZn3Rh (GGA-PBEsol, relaxed); energy of formation = -95 meV per atom; symmetry = Pm-3m
1.0
4.6379 0.0000 0.0000
0.0000 4.6379 0.0000
0.0000 0.0000 4.6379
Y Zn Rh
1 3 1
Cartesian
0.0000 0.0000 0.0000
0.0000 2.3189 2.3189
2.3189 0.0000 2.3189
2.3189 2.3189 0.0000
2.3189 2.3189 2.3189


Entry 6:
YZrRh3 (GGA-PBEsol, relaxed); energy of formation = 825 meV per atom; symmetry = Pm-3m
1.0
4.7090 0.0000 0.0000
0.0000 4.7090 0.0000
0.0000 0.0000 4.7090
Y Zr Rh
1 1 3
Cartesian
0.0000 0.0000 0.0000
2.3545 2.3545 2.3545
0.0000 0.0000 2.3545
0.0000 2.3545 0.0000
2.3545 0.0000 0.0000